Entry 1
DFT (PBE-GGA) results for TcBSe2Br after structural relaxation.

a = 4.385 Å, b = 4.385 Å, c = 4.431 Å
α = 90.00°, β = 90.00°, γ = 90.00°
Fractional coordinates of all 5 atoms:
Tc1 0.500 0.500 0.500
Se1 0.500 0.000 0.000
Se2 0.000 0.500 0.000
Br1 0.000 0.000 0.500
B1 0.000 0.000 0.000

Values from the calculation:
Total magnetization (μB/atom): 0.000
SG: P4/mmm (123)



Entry 2
DFT (PBE-GGA) results for TcBSe2Br after structural relaxation.

a = 4.774 Å, b = 4.774 Å, c = 5.437 Å
α = 90.00°, β = 90.00°, γ = 90.00°
Fractional coordinates of all 5 atoms:
Tc1 0.000 0.000 0.000
Se1 0.000 0.500 0.000
Se2 0.500 0.000 0.000
Br1 0.000 0.000 0.500
B1 0.500 0.500 0.500

Values from the calculation:
Total magnetization (μB/atom): 0.000
SG: P4/mmm (123)



What should be chosen as the least stable of them? Choose entry 1.



Entry 1
DFT (PBE-GGA) results for BTeSeBr2 after structural relaxation.

a = 4.550 Å, b = 4.550 Å, c = 5.171 Å
α = 90.00°, β = 90.00°, γ = 90.00°
Fractional coordinates of all 5 atoms:
Br1 0.500 0.000 0.000
Br2 0.000 0.500 0.000
B1 0.000 0.000 0.000
Te1 0.500 0.500 0.500
Se1 0.000 0.000 0.500

Values from the calculation:
Total magnetization (μB/atom): 0.000
SG: P4/mmm (123)



Entry 2
DFT (PBE-GGA) results for BTeSeBr2 after structural relaxation.

a = 5.535 Å, b = 5.535 Å, c = 5.536 Å
α = 90.00°, β = 90.00°, γ = 90.00°
Fractional coordinates of all 5 atoms:
Se1 0.000 0.000 0.500
Br1 0.500 0.000 0.000
Br2 0.000 0.500 0.000
Te1 0.000 0.000 0.000
B1 0.500 0.500 0.500

Values from the calculation:
Total magnetization (μB/atom): 0.008
SG: P4/mmm (123)



What should be chosen as the least stable of them? Choose entry 2.



Entry 1
DFT (PBE-GGA) results for TiBSe2Br after structural relaxation.

a = 4.532 Å, b = 4.532 Å, c = 4.477 Å
α = 90.00°, β = 90.00°, γ = 90.00°
Fractional coordinates of all 5 atoms:
Se1 0.500 0.000 0.000
Se2 0.000 0.500 0.000
Ti1 0.500 0.500 0.500
B1 0.000 0.000 0.000
Br1 0.000 0.000 0.500

Values from the calculation:
Total magnetization (μB/atom): 0.003
SG: P4/mmm (123)



Entry 2
DFT (PBE-GGA) results for TiBSe2Br after structural relaxation.

a = 4.939 Å, b = 4.939 Å, c = 5.141 Å
α = 90.00°, β = 90.00°, γ = 90.00°
Fractional coordinates of all 5 atoms:
B1 0.500 0.500 0.500
Se1 0.000 0.500 0.000
Se2 0.500 0.000 0.000
Ti1 0.000 0.000 0.000
Br1 0.000 0.000 0.500

Values from the calculation:
Total magnetization (μB/atom): 0.000
SG: P4/mmm (123)



What should be chosen as the least stable of them? Choose entry 1.



Entry 1
DFT (PBE-GGA) results for VBSe2Br after structural relaxation.

a = 4.770 Å, b = 4.770 Å, c = 5.305 Å
α = 90.00°, β = 90.00°, γ = 90.00°
Fractional coordinates of all 5 atoms:
Se1 0.000 0.500 0.000
Se2 0.500 0.000 0.000
Br1 0.000 0.000 0.500
B1 0.500 0.500 0.500
V1 0.000 0.000 0.000

Values from the calculation:
Total magnetization (μB/atom): 0.269
SG: P4/mmm (123)



Entry 2
DFT (PBE-GGA) results for VBSe2Br after structural relaxation.

a = 4.489 Å, b = 4.489 Å, c = 4.502 Å
α = 90.00°, β = 90.00°, γ = 90.00°
Fractional coordinates of all 5 atoms:
Se1 0.500 0.000 0.000
Se2 0.000 0.500 0.000
B1 0.000 0.000 0.000
V1 0.500 0.500 0.500
Br1 0.000 0.000 0.500

Values from the calculation:
Total magnetization (μB/atom): 0.052
SG: P4/mmm (123)



What should be chosen as the least stable of them? Choose entry 2.



Entry 1
DFT (PBE-GGA) results for YBSeBr2 after structural relaxation.

a = 5.522 Å, b = 5.522 Å, c = 5.582 Å
α = 90.00°, β = 90.00°, γ = 90.00°
Fractional coordinates of all 5 atoms:
Br1 0.500 0.000 0.000
Br2 0.000 0.500 0.000
Y1 0.000 0.000 0.000
B1 0.500 0.500 0.500
Se1 0.000 0.000 0.500

Values from the calculation:
Total magnetization (μB/atom): 0.000
SG: P4/mmm (123)



Entry 2
DFT (PBE-GGA) results for YBSeBr2 after structural relaxation.

a = 4.756 Å, b = 4.756 Å, c = 4.680 Å
α = 90.00°, β = 90.00°, γ = 90.00°
Fractional coordinates of all 5 atoms:
B1 0.000 0.000 0.000
Se1 0.000 0.000 0.500
Y1 0.500 0.500 0.500
Br1 0.500 0.000 0.000
Br2 0.000 0.500 0.000

Values from the calculation:
Total magnetization (μB/atom): 0.000
SG: P4/mmm (123)



What should be chosen as the least stable of them? Choose entry 1.



Entry 1
DFT (PBE-GGA) results for ZnBSeBr2 after structural relaxation.

a = 4.614 Å, b = 4.614 Å, c = 4.766 Å
α = 90.00°, β = 90.00°, γ = 90.00°
Fractional coordinates of all 5 atoms:
Zn1 0.500 0.500 0.500
B1 0.000 0.000 0.000
Se1 0.000 0.000 0.500
Br1 0.000 0.500 0.000
Br2 0.500 0.000 0.000

Values from the calculation:
Total magnetization (μB/atom): 0.000
SG: P4/mmm (123)



Entry 2
DFT (PBE-GGA) results for ZnBSeBr2 after structural relaxation.

a = 5.155 Å, b = 5.155 Å, c = 4.949 Å
α = 90.00°, β = 90.00°, γ = 90.00°
Fractional coordinates of all 5 atoms:
Br1 0.500 0.000 0.000
Br2 0.000 0.500 0.000
Se1 0.000 0.000 0.500
Zn1 0.000 0.000 0.000
B1 0.500 0.500 0.500

Values from the calculation:
Total magnetization (μB/atom): 0.000
SG: P4/mmm (123)



What should be chosen as the least stable of them? Choose entry 2.



Entry 1
DFT (PBE-GGA) results for ZrBSeBr2 after structural relaxation.

a = 4.611 Å, b = 4.611 Å, c = 4.688 Å
α = 90.00°, β = 90.00°, γ = 90.00°
Fractional coordinates of all 5 atoms:
Br1 0.500 0.000 0.000
Br2 0.000 0.500 0.000
Se1 0.000 0.000 0.500
B1 0.000 0.000 0.000
Zr1 0.500 0.500 0.500

Values from the calculation:
Total magnetization (μB/atom): 0.348
SG: P4/mmm (123)



Entry 2
DFT (PBE-GGA) results for ZrBSeBr2 after structural relaxation.

a = 5.362 Å, b = 5.362 Å, c = 5.199 Å
α = 90.00°, β = 90.00°, γ = 90.00°
Fractional coordinates of all 5 atoms:
Se1 0.000 0.000 0.500
B1 0.500 0.500 0.500
Zr1 0.000 0.000 0.000
Br1 0.000 0.500 0.000
Br2 0.500 0.000 0.000

Values from the calculation:
Total magnetization (μB/atom): 0.051
SG: P4/mmm (123)



What should be chosen as the least stable of them? Choose entry 1.



Entry 1
DFT (PBE-GGA) results for Si3BBr after structural relaxation.

a = 4.366 Å, b = 4.366 Å, c = 4.366 Å
α = 90.00°, β = 90.00°, γ = 90.00°
Fractional coordinates of all 5 atoms:
Br1 0.500 0.500 0.500
Si1 0.000 0.500 0.000
Si2 0.000 0.000 0.500
Si3 0.500 0.000 0.000
B1 0.000 0.000 0.000

Values from the calculation:
Total magnetization (μB/atom): 0.000
SG: Pm-3m (221)



Entry 2
DFT (PBE-GGA) results for Si3BBr after structural relaxation.

a = 4.991 Å, b = 4.991 Å, c = 4.991 Å
α = 90.00°, β = 90.00°, γ = 90.00°
Fractional coordinates of all 5 atoms:
B1 0.500 0.500 0.500
Si1 0.000 0.500 0.000
Si2 0.000 0.000 0.500
Si3 0.500 0.000 0.000
Br1 0.000 0.000 0.000

Values from the calculation:
Total magnetization (μB/atom): 0.000
SG: Pm-3m (221)



What should be chosen as the least stable of them? Choose entry 2.